DyY4In3 | the Alexandria database | PBE-GGA | optimized geometry; total DFT energy (no corrections) = -5.184 eV per atom; space group = R-3m (166); ΔH_f (0 K) = -0.3494 eV/atom; DOS at the Fermi energy = 10.13 states/eV/cell
1.0
2.683 1.549 9.062
-2.683 1.549 9.062
0.000 -3.099 9.062
Dy Y In
1 4 3
Direct
0.000 0.000 0.000
0.129 0.129 0.129
0.386 0.386 0.386
0.614 0.614 0.614
0.871 0.871 0.871
0.263 0.263 0.263
0.500 0.500 0.500
0.737 0.737 0.737

DyYIn3 | the Alexandria database | PBE-GGA | optimized geometry; total DFT energy (no corrections) = -3.748 eV per atom; space group = I-4m2 (119); ΔH_f (0 K) = 0.1084 eV/atom; DOS at the Fermi energy = 8.28 states/eV/cell
1.0
-2.910 2.910 10.974
2.910 -2.910 10.974
2.910 2.910 -10.974
Dy Y In
2 2 6
Direct
0.081 0.081 0.000
0.919 0.919 0.000
0.250 0.750 0.500
0.500 0.500 0.000
0.372 0.125 0.753
0.372 0.620 0.247
0.380 0.628 0.753
0.507 0.007 0.500
0.875 0.628 0.247
0.993 0.493 0.500

Dy2Y5In5 | the Alexandria database | PBE-GGA | optimized geometry; total DFT energy (no corrections) = -4.930 eV per atom; space group = C2/m (12); ΔH_f (0 K) = -0.3285 eV/atom; DOS at the Fermi energy = 12.15 states/eV/cell
1.0
5.997 -2.532 0.000
5.997 2.532 0.000
-4.150 0.000 11.276
Dy Y In
2 5 5
Direct
0.072 0.072 0.261
0.928 0.928 0.739
0.348 0.348 0.497
0.363 0.363 0.221
0.500 0.500 0.000
0.637 0.637 0.779
0.652 0.652 0.503
0.000 0.000 0.500
0.165 0.165 0.964
0.264 0.264 0.720
0.736 0.736 0.280
0.835 0.835 0.036

DyYIn2 | the Alexandria database | PBE-GGA | optimized geometry; total DFT energy (no corrections) = -4.619 eV per atom; space group = P4/mmm (123); ΔH_f (0 K) = -0.4827 eV/atom; DOS at the Fermi energy = 2.45 states/eV/cell
1.0
3.763 0.000 0.000
0.000 3.763 0.000
0.000 0.000 7.532
Dy Y In
1 1 2
Direct
0.000 0.000 0.000
0.000 0.000 0.500
0.500 0.500 0.249
0.500 0.500 0.751

Dy2YIn2 | the Alexandria database | PBE-GGA | optimized geometry; total DFT energy (no corrections) = -4.457 eV per atom; space group = P-3m1 (164); ΔH_f (0 K) = -0.2280 eV/atom; DOS at the Fermi energy = 7.25 states/eV/cell
1.0
5.217 0.000 0.000
-2.608 4.518 0.000
0.000 0.000 6.490
Dy Y In
2 1 2
Direct
0.333 0.667 0.161
0.667 0.333 0.839
0.000 0.000 0.500
0.333 0.667 0.678
0.667 0.333 0.322

Dy5Y2In3 | the Alexandria database | PBE-GGA | optimized geometry; total DFT energy (no corrections) = -4.473 eV per atom; space group = Ibam (72); ΔH_f (0 K) = -0.0576 eV/atom; DOS at the Fermi energy = 25.30 states/eV/cell
1.0
-6.295 7.595 3.275
6.295 -7.595 3.275
6.295 7.595 -3.275
Dy Y In
10 4 6
Direct
0.160 0.577 0.737
0.250 0.250 0.000
0.250 0.508 0.258
0.250 0.992 0.742
0.340 0.077 0.417
0.660 0.923 0.583
0.750 0.008 0.258
0.750 0.492 0.742
0.750 0.750 0.000
0.840 0.423 0.263
0.201 0.852 0.053
0.299 0.352 0.651
0.701 0.648 0.349
0.799 0.148 0.947
0.148 0.137 0.285
0.250 0.750 0.500
0.352 0.637 0.989
0.648 0.363 0.011
0.750 0.250 0.500
0.852 0.863 0.715

DyYIn6 | the Alexandria database | PBE-GGA | optimized geometry; total DFT energy (no corrections) = -3.857 eV per atom; space group = P4/mmm (123); ΔH_f (0 K) = -0.4203 eV/atom; DOS at the Fermi energy = 2.88 states/eV/cell
1.0
4.640 0.000 0.000
0.000 4.640 0.000
0.000 0.000 9.284
Dy Y In
1 1 6
Direct
0.000 0.000 0.000
0.000 0.000 0.500
0.000 0.500 0.249
0.000 0.500 0.751
0.500 0.000 0.249
0.500 0.000 0.751
0.500 0.500 0.000
0.500 0.500 0.500

Dy8Y6In | the Alexandria database | PBE-GGA | optimized geometry; total DFT energy (no corrections) = -5.142 eV per atom; space group = P-3 (147); ΔH_f (0 K) = 0.0804 eV/atom; DOS at the Fermi energy = 18.21 states/eV/cell
1.0
9.326 0.000 0.000
-4.663 8.077 0.000
0.000 0.000 6.366
Dy Y In
8 6 1
Direct
0.040 0.774 0.316
0.226 0.267 0.316
0.267 0.040 0.684
0.333 0.667 0.319
0.667 0.333 0.681
0.733 0.960 0.316
0.774 0.733 0.684
0.960 0.226 0.684
0.093 0.643 0.822
0.357 0.450 0.822
0.450 0.093 0.178
0.550 0.907 0.822
0.643 0.550 0.178
0.907 0.357 0.178
0.000 0.000 0.000

DyY8In2 | the Alexandria database | PBE-GGA | optimized geometry; total DFT energy (no corrections) = -5.674 eV per atom; space group = C2/m (12); ΔH_f (0 K) = -0.0562 eV/atom; DOS at the Fermi energy = 16.23 states/eV/cell
1.0
4.454 -7.550 0.000
4.454 7.550 0.000
-2.376 0.000 5.155
Dy Y In
1 8 2
Direct
0.000 0.000 0.000
0.093 0.324 0.620
0.217 0.783 0.000
0.324 0.093 0.620
0.403 0.403 0.204
0.597 0.597 0.796
0.676 0.907 0.380
0.783 0.217 0.000
0.907 0.676 0.380
0.306 0.694 0.500
0.694 0.306 0.500

Dy15Y4In | the Alexandria database | PBE-GGA | optimized geometry; total DFT energy (no corrections) = -4.913 eV per atom; space group = P4/mmm (123); ΔH_f (0 K) = -0.0319 eV/atom; DOS at the Fermi energy = 24.37 states/eV/cell
1.0
4.965 0.000 0.000
0.000 4.965 0.000
0.000 0.000 25.167
Dy Y In
15 4 1
Direct
0.000 0.000 0.000
0.000 0.000 0.196
0.000 0.000 0.399
0.000 0.000 0.601
0.000 0.000 0.804
0.000 0.500 0.096
0.000 0.500 0.298
0.000 0.500 0.500
0.000 0.500 0.702
0.000 0.500 0.904
0.500 0.000 0.096
0.500 0.000 0.298
0.500 0.000 0.500
0.500 0.000 0.702
0.500 0.000 0.904
0.500 0.500 0.198
0.500 0.500 0.399
0.500 0.500 0.601
0.500 0.500 0.802
0.500 0.500 0.000

Dy12Y7In | the Alexandria database | PBE-GGA | optimized geometry; total DFT energy (no corrections) = -5.003 eV per atom; space group = R-3 (148); ΔH_f (0 K) = 0.1581 eV/atom; DOS at the Fermi energy = 37.62 states/eV/cell
1.0
6.056 3.496 5.061
-6.056 3.496 5.061
0.000 -6.993 5.061
Dy Y In
12 7 1
Direct
0.000 0.355 0.885
0.000 0.645 0.115
0.115 0.000 0.645
0.239 0.630 0.756
0.244 0.761 0.370
0.355 0.885 0.000
0.370 0.244 0.761
0.630 0.756 0.239
0.645 0.115 0.000
0.756 0.239 0.630
0.761 0.370 0.244
0.885 0.000 0.355
0.000 0.000 0.000
0.116 0.352 0.441
0.352 0.441 0.116
0.441 0.116 0.352
0.559 0.884 0.648
0.648 0.559 0.884
0.884 0.648 0.559
0.500 0.500 0.500

Dy4Y4In | the Alexandria database | PBE-GGA | optimized geometry; total DFT energy (no corrections) = -5.301 eV per atom; space group = I4/mmm (139); ΔH_f (0 K) = -0.0782 eV/atom; DOS at the Fermi energy = 13.96 states/eV/cell
1.0
-5.342 5.342 2.421
5.342 -5.342 2.421
5.342 5.342 -2.421
Dy Y In
4 4 1
Direct
0.000 0.337 0.337
0.000 0.663 0.663
0.337 0.000 0.337
0.663 0.000 0.663
0.339 0.339 0.678
0.339 0.661 0.000
0.661 0.339 0.000
0.661 0.661 0.322
0.000 0.000 0.000

Dy2Y6In | the Alexandria database | PBE-GGA | optimized geometry; total DFT energy (no corrections) = -5.649 eV per atom; space group = Immm (71); ΔH_f (0 K) = -0.0126 eV/atom; DOS at the Fermi energy = 12.32 states/eV/cell
1.0
-1.746 5.076 7.990
1.746 -5.076 7.990
1.746 5.076 -7.990
Dy Y In
2 6 1
Direct
0.154 0.154 0.000
0.846 0.846 0.000
0.161 0.823 0.337
0.197 0.500 0.697
0.486 0.823 0.663
0.514 0.177 0.337
0.803 0.500 0.303
0.839 0.177 0.663
0.500 0.000 0.500

Dy4YIn5 | the Alexandria database | PBE-GGA | optimized geometry; total DFT energy (no corrections) = -4.328 eV per atom; space group = P4/mmm (123); ΔH_f (0 K) = -0.4718 eV/atom; DOS at the Fermi energy = 6.27 states/eV/cell
1.0
3.745 0.000 0.000
0.000 3.745 0.000
0.000 0.000 18.973
Dy Y In
4 1 5
Direct
0.000 0.000 0.100
0.000 0.000 0.299
0.000 0.000 0.701
0.000 0.000 0.900
0.000 0.000 0.500
0.500 0.500 0.000
0.500 0.500 0.200
0.500 0.500 0.399
0.500 0.500 0.601
0.500 0.500 0.800

DyY2In2 | the Alexandria database | PBE-GGA | optimized geometry; total DFT energy (no corrections) = -4.999 eV per atom; space group = P2_1/m (11); ΔH_f (0 K) = -0.3981 eV/atom; DOS at the Fermi energy = 8.59 states/eV/cell
1.0
3.767 0.000 0.000
0.000 5.345 0.000
-1.887 0.000 13.848
Dy Y In
2 4 4
Direct
0.148 0.250 0.297
0.852 0.750 0.703
0.048 0.750 0.096
0.237 0.750 0.474
0.763 0.250 0.526
0.952 0.250 0.904
0.357 0.250 0.712
0.450 0.750 0.900
0.550 0.250 0.100
0.643 0.750 0.288

Dy8YIn6 | the Alexandria database | PBE-GGA | optimized geometry; total DFT energy (no corrections) = -4.199 eV per atom; space group = R-3 (148); ΔH_f (0 K) = -0.2179 eV/atom; DOS at the Fermi energy = 21.90 states/eV/cell
1.0
4.515 2.607 6.487
-4.515 2.607 6.487
0.000 -5.213 6.487
Dy Y In
8 1 6
Direct
0.053 0.721 0.387
0.166 0.166 0.166
0.279 0.613 0.947
0.387 0.053 0.721
0.613 0.947 0.279
0.721 0.387 0.053
0.834 0.834 0.834
0.947 0.279 0.613
0.500 0.500 0.500
0.108 0.441 0.774
0.226 0.892 0.559
0.441 0.774 0.108
0.559 0.226 0.892
0.774 0.108 0.441
0.892 0.559 0.226

Dy2YIn | the Alexandria database | PBE-GGA | optimized geometry; total DFT energy (no corrections) = -4.714 eV per atom; space group = Fm-3m (225); ΔH_f (0 K) = -0.1126 eV/atom; DOS at the Fermi energy = 25.57 states/eV/cell
1.0
7.715 0.000 0.000
0.000 7.715 0.000
0.000 0.000 7.715
Dy Y In
8 4 4
Direct
0.250 0.250 0.250
0.250 0.250 0.750
0.250 0.750 0.250
0.250 0.750 0.750
0.750 0.250 0.250
0.750 0.250 0.750
0.750 0.750 0.250
0.750 0.750 0.750
0.000 0.000 0.000
0.000 0.500 0.500
0.500 0.000 0.500
0.500 0.500 0.000
0.000 0.000 0.500
0.000 0.500 0.000
0.500 0.000 0.000
0.500 0.500 0.500

Dy2Y3In3 | the Alexandria database | PBE-GGA | optimized geometry; total DFT energy (no corrections) = -4.988 eV per atom; space group = Immm (71); ΔH_f (0 K) = -0.3862 eV/atom; DOS at the Fermi energy = 12.49 states/eV/cell
1.0
3.772 0.000 0.000
0.000 5.330 0.000
0.000 0.000 22.323
Dy Y In
4 6 6
Direct
0.000 0.000 0.235
0.000 0.000 0.765
0.500 0.500 0.265
0.500 0.500 0.735
0.000 0.000 0.000
0.000 0.500 0.124
0.000 0.500 0.876
0.500 0.000 0.376
0.500 0.000 0.624
0.500 0.500 0.500
0.000 0.000 0.500
0.000 0.500 0.380
0.000 0.500 0.620
0.500 0.000 0.120
0.500 0.000 0.880
0.500 0.500 0.000

DyY2In9 | the Alexandria database | PBE-GGA | optimized geometry; total DFT energy (no corrections) = -3.937 eV per atom; space group = P4/mmm (123); ΔH_f (0 K) = -0.4221 eV/atom; DOS at the Fermi energy = 4.36 states/eV/cell
1.0
4.642 0.000 0.000
0.000 4.642 0.000
0.000 0.000 13.924
Dy Y In
1 2 9
Direct
0.000 0.000 0.000
0.000 0.000 0.333
0.000 0.000 0.667
0.000 0.500 0.166
0.000 0.500 0.500
0.000 0.500 0.834
0.500 0.000 0.166
0.500 0.000 0.500
0.500 0.000 0.834
0.500 0.500 0.000
0.500 0.500 0.333
0.500 0.500 0.667

DyYIn2 | the Alexandria database | PBE-GGA | optimized geometry; total DFT energy (no corrections) = -4.477 eV per atom; space group = R-3m (166); ΔH_f (0 K) = -0.3417 eV/atom; DOS at the Fermi energy = 6.12 states/eV/cell
1.0
3.697 0.000 0.000
-1.849 3.202 0.000
0.000 0.000 29.091
Dy Y In
3 3 6
Direct
0.000 0.000 0.000
0.333 0.667 0.667
0.667 0.333 0.333
0.000 0.000 0.500
0.333 0.667 0.167
0.667 0.333 0.833
0.000 0.000 0.250
0.000 0.000 0.750
0.333 0.667 0.417
0.333 0.667 0.917
0.667 0.333 0.083
0.667 0.333 0.583